# TbEr2SnRh4

A geometry-optimized TbEr2SnRh4 structure (PBE-GGA, Alexandria via LeMat-Bulk).

Structure (CIF):
```
data_TbEr2SnRh4
_symmetry_space_group_name_H-M 'R -3 m'
_symmetry_Int_Tables_number 166
_symmetry_space_group_name_Hall '-R 3 2"'
_cell_length_a 4.7549
_cell_length_b 4.7549
_cell_length_c 23.3504
_cell_angle_alpha 90.00
_cell_angle_beta 90.00
_cell_angle_gamma 120.00
loop_
_atom_site_label
_atom_site_fract_x
_atom_site_fract_y
_atom_site_fract_z
Tb1 0.0000 0.0000 0.0000
Er1 0.0000 0.0000 0.2457
Sn1 0.0000 0.0000 0.5000
Rh1 0.0000 0.0000 0.1249
Rh2 0.0000 0.0000 0.3774
```

Properties
uncorrected energy = -161.61 eV/cell
formation enthalpy at 0 K = -80.9 kJ per mole of atoms